Record 1
# TeRh2Au2 PBE-GGA relaxed
# Formation energy from raw total energies in eV per atom: 0.12
# M_tot in μB/cell: 0.00
# Density of states at the Fermi level in states/eV/cell: 8.35
data_TeRh2Au2
_chemical_formula_sum 'Te2 Rh4 Au4'
_space_group_name_H-M_alt 'P 4/m b m'
_space_group_IT_number 127
_space_group_name_Hall '-P 4 2ab'
_cell_length_a 6.741
_cell_length_b 6.741
_cell_length_c 4.074
_cell_angle_alpha 90.00
_cell_angle_beta 90.00
_cell_angle_gamma 90.00
loop_
_atom_site_label
_atom_site_fract_x
_atom_site_fract_y
_atom_site_fract_z
Te1 0.000 0.000 0.000
Rh1 0.146 0.354 0.000
Au1 0.152 0.652 0.500

Record 2
# Cs3ScSb2O9 PBE-GGA relaxed
# Formation energy from raw total energies in eV per atom: -1.48
# M_tot in μB/cell: 2.11
# Density of states at the Fermi level in states/eV/cell: 11.33
data_Cs3ScSb2O9
_chemical_formula_sum 'Cs3 Sc1 Sb2 O9'
_space_group_name_H-M_alt 'P -3 m 1'
_space_group_IT_number 164
_space_group_name_Hall '-P 3 2"'
_cell_length_a 5.9785
_cell_length_b 5.9785
_cell_length_c 7.3354
_cell_angle_alpha 90.00
_cell_angle_beta 90.00
_cell_angle_gamma 120.00
loop_
_atom_site_label
_atom_site_fract_x
_atom_site_fract_y
_atom_site_fract_z
Cs1 0.0000 0.0000 0.0000
Cs2 0.3333 0.6667 0.6634
Sc1 0.0000 0.0000 0.5000
Sb1 0.3333 0.6667 0.1666
O1 0.0000 0.5000 0.0000
O2 0.1727 0.3455 0.3232

Record 3
# Tb2GaNi6 PBE-GGA relaxed
# M_tot in μB/cell: 0.00
# Density of states at the Fermi level in states/eV/cell: 27.66
# Total energy in eV per atom: -5.581
data_Tb2GaNi6
_chemical_formula_sum 'Tb8 Ga4 Ni24'
_space_group_name_H-M_alt 'F m -3 m'
_space_group_IT_number 225
_space_group_name_Hall '-F 4 2 3'
_cell_length_a 8.184
_cell_length_b 8.184
_cell_length_c 8.184
_cell_angle_alpha 90.00
_cell_angle_beta 90.00
_cell_angle_gamma 90.00
loop_
_atom_site_label
_atom_site_fract_x
_atom_site_fract_y
_atom_site_fract_z
Tb1 0.250 0.250 0.250
Ga1 0.000 0.000 0.000
Ni1 0.000 0.000 0.287